Here is a crystal of NaH9O5 relaxed with PBEsol from Alexandria via LeMat-Bulk. Energies are from meta-GGA SCAN.

Calculated values
For the total energy, the calculation gives -5.58 eV/atom. As for the density of states at the Fermi level: 0.00 states/eV/f.u.

Structure (CIF):
```
data_NaH9O5
_space_group_name_H-M_alt 'P 1'
_space_group_IT_number 1
_space_group_name_Hall 'P 1'
_cell_length_a 5.799
_cell_length_b 6.601
_cell_length_c 12.189
_cell_angle_alpha 90.00
_cell_angle_beta 90.00
_cell_angle_gamma 90.00
loop_
_atom_site_label
_atom_site_fract_x
_atom_site_fract_y
_atom_site_fract_z
O1 0.920 0.064 0.555
O2 0.092 0.565 0.558
O3 0.785 0.899 0.743
O4 0.420 0.436 0.445
O5 0.215 0.399 0.757
O6 0.828 0.583 0.121
O7 0.672 0.417 0.621
O8 0.408 0.435 0.058
O9 0.080 0.564 0.945
O10 0.813 0.590 0.382
O11 0.580 0.936 0.055
O12 0.592 0.935 0.442
O13 0.715 0.101 0.243
O14 0.313 0.910 0.618
O15 0.187 0.090 0.118
O16 0.908 0.065 0.942
O17 0.285 0.601 0.257
O18 0.687 0.410 0.882
O19 0.328 0.917 0.879
O20 0.172 0.083 0.379
H1 0.584 0.415 0.949
H2 0.635 0.048 0.309
H3 0.636 0.801 0.079
H4 0.656 0.800 0.417
H5 0.865 0.952 0.809
H6 0.233 0.504 0.510
H7 0.864 0.199 0.579
H8 0.733 0.996 0.490
H9 0.833 0.488 0.902
H10 0.156 0.700 0.583
H11 0.681 0.512 0.103
H12 0.073 0.080 0.449
H13 0.916 0.585 0.449
H14 0.767 0.004 0.990
H15 0.141 0.456 0.826
H16 0.364 0.301 0.421
H17 0.365 0.548 0.191
H18 0.135 0.452 0.691
H19 0.167 0.988 0.598
H20 0.427 0.920 0.949
H21 0.181 0.988 0.897
H22 0.844 0.200 0.917
H23 0.927 0.580 0.051
H24 0.136 0.699 0.921
H25 0.573 0.420 0.551
H26 0.084 0.085 0.051
H27 0.859 0.956 0.674
H28 0.333 0.012 0.098
H29 0.416 0.915 0.551
H30 0.344 0.300 0.083
H31 0.359 0.544 0.326
H32 0.667 0.512 0.402
H33 0.641 0.044 0.174
H34 0.319 0.012 0.397
H35 0.267 0.496 0.010
H36 0.819 0.488 0.603
Na1 0.997 0.339 0.253
Na2 0.503 0.661 0.753
Na3 0.003 0.839 0.247
Na4 0.497 0.161 0.747
```



Here is a crystal of BaSc2P relaxed with PBEsol from Alexandria via LeMat-Bulk. Energies are from meta-GGA SCAN.

Calculated values
Its energy relative to the elements is -0.411 eV per atom. As for the density of states at the Fermi level: 4.07 states/eV/f.u.

Structure (CIF):
```
data_BaSc2P
_space_group_name_H-M_alt 'P 1'
_space_group_IT_number 1
_space_group_name_Hall 'P 1'
_cell_length_a 3.396
_cell_length_b 3.396
_cell_length_c 8.922
_cell_angle_alpha 90.00
_cell_angle_beta 90.00
_cell_angle_gamma 97.41
loop_
_atom_site_label
_atom_site_fract_x
_atom_site_fract_y
_atom_site_fract_z
Ba1 0.500 0.500 0.500
Sc1 0.000 0.000 0.840
Sc2 0.000 0.000 0.160
P1 0.500 0.500 0.000
```



Here is a crystal of Ba3Mn2IrO9 relaxed with PBEsol from Alexandria via LeMat-Bulk. Energies are from meta-GGA SCAN.

Calculated values
The uncorrected formation energy is -2351 meV/atom. As for the density of states at the Fermi level: 2.66 states/eV/f.u.

Structure (CIF):
```
data_Ba3Mn2IrO9
_space_group_name_H-M_alt 'P 1'
_space_group_IT_number 1
_space_group_name_Hall 'P 1'
_cell_length_a 5.643
_cell_length_b 5.643
_cell_length_c 7.872
_cell_angle_alpha 69.00
_cell_angle_beta 69.00
_cell_angle_gamma 60.00
loop_
_atom_site_label
_atom_site_fract_x
_atom_site_fract_y
_atom_site_fract_z
Ba1 0.224 0.224 0.329
Ba2 0.776 0.776 0.671
Ba3 0.000 0.000 0.000
Mn1 0.619 0.619 0.142
Mn2 0.381 0.381 0.858
Ir1 0.500 0.500 0.500
O1 0.500 0.500 0.000
O2 0.286 0.286 0.688
O3 0.714 0.259 0.312
O4 0.741 0.286 0.688
O5 0.500 0.000 0.000
O6 0.000 0.500 0.000
O7 0.259 0.714 0.312
O8 0.286 0.741 0.688
O9 0.714 0.714 0.312
```



Here is a crystal of Li8TeO6 relaxed with PBEsol from Alexandria via LeMat-Bulk. Energies are from meta-GGA SCAN.

Calculated values
The uncorrected formation energy is -1845 meV/atom. As for the density of states at the Fermi level: 0.00 states/eV/f.u.

Structure (CIF):
```
data_Li8TeO6
_space_group_name_H-M_alt 'P 1'
_space_group_IT_number 1
_space_group_name_Hall 'P 1'
_cell_length_a 5.526
_cell_length_b 5.526
_cell_length_c 6.135
_cell_angle_alpha 63.23
_cell_angle_beta 63.23
_cell_angle_gamma 60.00
loop_
_atom_site_label
_atom_site_fract_x
_atom_site_fract_y
_atom_site_fract_z
Li1 0.490 0.771 0.636
Li2 0.510 0.229 0.364
Li3 0.229 0.897 0.364
Li4 0.347 0.347 0.958
Li5 0.897 0.510 0.364
Li6 0.653 0.653 0.042
Li7 0.103 0.490 0.636
Li8 0.771 0.103 0.636
O1 0.097 0.759 0.748
O2 0.396 0.097 0.748
O3 0.759 0.396 0.748
O4 0.604 0.903 0.252
O5 0.903 0.241 0.252
O6 0.241 0.604 0.252
Te1 0.000 0.000 0.000
```



Here is a crystal of Rb3SeBr relaxed with PBEsol from Alexandria via LeMat-Bulk. Energies are from meta-GGA SCAN.

Calculated values
The uncorrected formation energy is -1168 meV/atom.

Structure (CIF):
```
data_Rb3SeBr
_space_group_name_H-M_alt 'P 1'
_space_group_IT_number 1
_space_group_name_Hall 'P 1'
_cell_length_a 6.178
_cell_length_b 6.178
_cell_length_c 6.178
_cell_angle_alpha 90.00
_cell_angle_beta 90.00
_cell_angle_gamma 90.00
loop_
_atom_site_label
_atom_site_fract_x
_atom_site_fract_y
_atom_site_fract_z
Rb1 0.500 0.000 0.000
Rb2 0.000 0.000 0.500
Rb3 0.000 0.500 0.000
Se1 0.500 0.500 0.500
Br1 0.000 0.000 0.000
```



Here is a crystal of CdAsBr2 relaxed with PBEsol from Alexandria via LeMat-Bulk. Energies are from meta-GGA SCAN.

Calculated values
The uncorrected formation energy is 382 meV/atom. As for the density of states at the Fermi level: 3.31 states/eV/f.u.

Structure (CIF):
```
data_CdAsBr2
_space_group_name_H-M_alt 'P 1'
_space_group_IT_number 1
_space_group_name_Hall 'P 1'
_cell_length_a 5.031
_cell_length_b 5.031
_cell_length_c 5.031
_cell_angle_alpha 60.00
_cell_angle_beta 60.00
_cell_angle_gamma 60.00
loop_
_atom_site_label
_atom_site_fract_x
_atom_site_fract_y
_atom_site_fract_z
Br1 0.000 0.000 0.000
Br2 0.750 0.750 0.750
As1 0.500 0.500 0.500
Cd1 0.250 0.250 0.250
```



Here is a crystal of ScCoMo2 relaxed with PBEsol from Alexandria via LeMat-Bulk. Energies are from meta-GGA SCAN.

Calculated values
Its energy relative to the elements is 0.150 eV per atom. As for the density of states at the Fermi level: 3.23 states/eV/f.u.

Structure (CIF):
```
data_ScCoMo2
_space_group_name_H-M_alt 'P 1'
_space_group_IT_number 1
_space_group_name_Hall 'P 1'
_cell_length_a 3.187
_cell_length_b 4.546
_cell_length_c 4.984
_cell_angle_alpha 117.13
_cell_angle_beta 108.64
_cell_angle_gamma 90.00
loop_
_atom_site_label
_atom_site_fract_x
_atom_site_fract_y
_atom_site_fract_z
Co1 0.737 0.237 0.474
Mo1 0.267 0.767 0.534
Mo2 0.002 0.002 0.003
Sc1 0.494 0.494 0.988
```



Here is a crystal of BaV2O6 relaxed with PBEsol from Alexandria via LeMat-Bulk. Energies are from meta-GGA SCAN.

Calculated values
The uncorrected formation energy is -2842 meV/atom. As for the density of states at the Fermi level: 0.00 states/eV/f.u.

Structure (CIF):
```
data_BaV2O6
_space_group_name_H-M_alt 'P 1'
_space_group_IT_number 1
_space_group_name_Hall 'P 1'
_cell_length_a 7.596
_cell_length_b 7.596
_cell_length_c 7.913
_cell_angle_alpha 90.00
_cell_angle_beta 90.00
_cell_angle_gamma 112.45
loop_
_atom_site_label
_atom_site_fract_x
_atom_site_fract_y
_atom_site_fract_z
O1 0.633 0.182 0.818
O2 0.642 0.908 0.062
O3 0.000 0.000 0.750
O4 0.092 0.358 0.938
O5 0.337 0.333 0.699
O6 0.333 0.337 0.301
O7 0.663 0.667 0.699
O8 0.009 0.331 0.586
O9 0.908 0.642 0.938
O10 0.991 0.669 0.586
O11 0.818 0.367 0.182
O12 0.367 0.818 0.818
O13 0.667 0.663 0.301
O14 0.669 0.991 0.414
O15 0.331 0.009 0.414
O16 0.182 0.633 0.182
O17 0.000 0.000 0.250
O18 0.358 0.092 0.062
Ba1 0.500 0.500 0.000
Ba2 0.663 0.337 0.500
Ba3 0.337 0.663 0.500
V1 0.500 0.000 0.936
V2 0.000 0.500 0.064
V3 0.750 0.896 0.261
V4 0.896 0.750 0.739
V5 0.250 0.104 0.261
V6 0.104 0.250 0.739
```